Record 1
Here is a geometry-optimized Sr4Zn3Cd structure from the Alexandria database. Energies are from PBE-GGA.

Unit cell a=4.727 b=4.671 c=11.980 alpha=90.00 beta=90.00 gamma=90.00
Element x y z (fractional)
Sr (0.500, 0.500, 0.361)
Sr (0.000, 0.500, 0.851)
Sr (0.000, 0.000, 0.146)
Sr (0.500, 0.000, 0.642)
Zn (0.000, 0.500, 0.558)
Zn (0.000, 0.000, 0.445)
Zn (0.500, 0.000, 0.933)
Cd (0.500, 0.500, 0.063)

Summary:
The energy above the most stable polymorph in this dataset comes out at 0.000 eV/atom. The total moment is 0.000 μB per formula unit. Its formation energy is -0.2200 eV/atom. The calculation puts the electronic total energy at -1.653 eV/atom.

Record 2
Here is a geometry-optimized UTiGa2 structure from the Alexandria database. Energies are from PBE-GGA.

Unit cell a=2.774 b=2.774 c=8.904 alpha=90.00 beta=90.00 gamma=90.00
Site moments in Bohr magnetons follow the coordinates.
Element x y z (fractional)
U (0.500, 0.500, 0.500)  1.06
Ga (0.000, 0.000, 0.773)  -0.02
Ga (0.000, 0.000, 0.227)  -0.02
Ti (0.500, 0.500, 0.000)  0.02

Summary:
The total moment is 1.066 μB per formula unit. Its formation energy is -0.3013 eV/atom. The calculation puts the electronic total energy at -6.610 eV/atom.

Record 3
Here is a geometry-optimized TaBe2Se structure from the Alexandria database. Energies are from PBE-GGA.

Unit cell a=7.650 b=7.650 c=7.650 alpha=22.71 beta=22.71 gamma=22.71
Element x y z (fractional)
Be (0.991, 0.991, 0.991)
Be (0.509, 0.509, 0.509)
Se (0.250, 0.250, 0.250)
Ta (0.750, 0.750, 0.750)

Summary:
The uncorrected formation energy comes out at 36.6 kJ per mole of atoms. The total moment is 0.000 μB per formula unit. The calculation puts the electronic total energy at -5.318 eV/atom.

Record 4
Here is a geometry-optimized ScIr2Br structure from the Alexandria database. Energies are from PBE-GGA.

Unit cell a=5.224 b=5.224 c=4.593 alpha=83.29 beta=83.29 gamma=33.97
Element x y z (fractional)
Br (0.250, 0.250, 0.250)
Ir (0.027, 0.027, 0.971)
Ir (0.473, 0.473, 0.529)
Sc (0.750, 0.750, 0.750)

Summary:
The energy above the most stable polymorph in this dataset comes out at 0.141 eV/atom. The uncorrected formation energy comes out at -15.4 kJ per mole of atoms. The total moment is 0.000 μB per formula unit. The calculation puts the electronic total energy at -6.591 eV/atom.

Record 5
Here is a geometry-optimized SmEr4Al2 structure from the Alexandria database. Energies are from PBE-GGA.

Unit cell a=5.598 b=5.598 c=7.488 alpha=111.95 beta=111.95 gamma=90.00
Element x y z (fractional)
Sm (0.000, 0.000, 0.000)
Er (0.750, 0.250, 0.500)
Er (0.250, 0.750, 0.500)
Er (0.500, 0.000, 0.000)
Er (0.000, 0.500, 0.000)
Al (0.616, 0.616, 0.231)
Al (0.384, 0.384, 0.769)

Summary:
The energy above the most stable polymorph in this dataset comes out at 0.498 eV/atom. The total moment is 0.000 μB per formula unit. Its formation energy is 0.2899 eV/atom. The calculation puts the electronic total energy at -4.061 eV/atom.

Record 6
Here is a geometry-optimized Hg2SeBr structure from the Alexandria database. Energies are from PBE-GGA.

Unit cell a=3.932 b=4.293 c=6.677 alpha=90.00 beta=90.00 gamma=90.00
Element x y z (fractional)
Br (0.000, 0.500, 0.500)
Hg (0.000, 0.000, 0.000)
Hg (0.500, 0.500, 0.000)
Se (0.500, 0.000, 0.500)

Summary:
The energy above the most stable polymorph in this dataset comes out at 0.420 eV/atom. The uncorrected formation energy comes out at 16.0 kJ per mole of atoms. The total moment is 0.000 μB per formula unit. The calculation puts the electronic total energy at -1.274 eV/atom.

Record 7
Here is a geometry-optimized ZrTl2InCl6 structure from the Alexandria database. Energies are from PBE-GGA.

Unit cell a=7.463 b=8.667 c=11.073 alpha=90.00 beta=90.00 gamma=90.00
Site moments in Bohr magnetons follow the coordinates.
Element x y z (fractional)
Zr (0.500, 0.198, 0.500)  0.63
Zr (0.000, 0.802, 0.000)  0.63
Tl (0.500, 0.830, 0.188)  0.01
Tl (0.000, 0.170, 0.688)  0.01
Tl (0.500, 0.830, 0.812)  0.01
Tl (0.000, 0.170, 0.312)  0.01
In (0.000, 0.685, 0.500)  0.01
In (0.500, 0.315, 0.000)  0.01
Cl (0.500, 0.190, 0.270)  -0.01
Cl (0.500, 0.190, 0.730)  -0.01
Cl (0.000, 0.810, 0.230)  -0.01
Cl (0.000, 0.810, 0.770)  -0.01
Cl (0.253, 0.989, 0.500)  -0.01
Cl (0.747, 0.989, 0.500)  -0.01
Cl (0.246, 0.392, 0.500)  -0.01
Cl (0.754, 0.392, 0.500)  -0.01
Cl (0.746, 0.608, 0.000)  -0.01
Cl (0.254, 0.608, 0.000)  -0.01
Cl (0.247, 0.011, 0.000)  -0.01
Cl (0.753, 0.011, 0.000)  -0.01

Summary:
The uncorrected formation energy comes out at -118.0 kJ per mole of atoms. The total moment is 1.015 μB per formula unit. The calculation puts the electronic total energy at -3.932 eV/atom.

Record 8
Here is a geometry-optimized BaPd structure from the Alexandria database. Energies are from PBE-GGA.

Unit cell a=5.179 b=5.179 c=5.564 alpha=90.00 beta=90.00 gamma=120.00
Element x y z (fractional)
Ba (0.333, 0.667, 0.250)
Ba (0.667, 0.333, 0.750)
Pd (0.000, 0.000, 0.500)
Pd (0.000, 0.000, 0.000)

Summary:
The total moment is 0.000 μB per formula unit. Its formation energy is -0.5341 eV/atom. The calculation puts the electronic total energy at -4.092 eV/atom.